Density functional theory data (PBEsol) for a relaxed Li3HgN crystal.

Calculated values
Total magnetic moment in μB per formula unit: 0.00
Uncorrected formation energy in meV per atom: -348

Cell: 4.0159 4.0159 4.0159 Å, 90.00 90.00 90.00°
Closest atoms and distances in Å follow each position.
Space group Pm-3m (No. 221)
Unique sites:
Li 0.0000 0.0000 0.5000 x3  2 N 2.01
Hg 0.5000 0.5000 0.5000 x1  12 Li 2.84
N 0.0000 0.0000 0.0000 x1  6 Li 2.01